A crystal of ScTiCl2 relaxed with PBEsol. Source: Alexandria, functional SCAN.

Total DFT energy (no corrections) (Ry per atom): -0.92020
ΔE_f (raw) (kJ/mol of formula units): -372.1
Total magnetization (μB/f.u.): 1.029
Crystal system: trigonal
Symmetry: No. 166

a = 3.177 Å, b = 3.177 Å, c = 25.558 Å
α = 90.00°, β = 90.00°, γ = 120.00°
Atoms (fractional coordinates):
Sc1 0.000 0.000 0.000
Sc2 0.333 0.667 0.667
Sc3 0.667 0.333 0.333
Ti1 0.000 0.000 0.500
Ti2 0.333 0.667 0.167
Ti3 0.667 0.333 0.833
Cl1 0.000 0.000 0.101
Cl2 0.000 0.000 0.899
Cl3 0.333 0.667 0.565
Cl4 0.333 0.667 0.768
Cl5 0.667 0.333 0.232
Cl6 0.667 0.333 0.435